[1]
DFT (PBE) results for a relaxed structure of LiYMgCd.

Output
Space-group type ... F-43m (216)
E_form ... -220 meV per atom
Total magnetization ... 0.00 μB/f.u.

Lattice parameters (Å, degrees): 7.1169 7.1169 7.1169 90.00 90.00 90.00
Sites, in units of the cell vectors:
Li: 0.0000 0.0000 0.0000
Li: 0.0000 0.5000 0.5000
Li: 0.5000 0.0000 0.5000
Li: 0.5000 0.5000 0.0000
Y: 0.2500 0.2500 0.2500
Y: 0.2500 0.7500 0.7500
Y: 0.7500 0.2500 0.7500
Y: 0.7500 0.7500 0.2500
Mg: 0.2500 0.2500 0.7500
Mg: 0.2500 0.7500 0.2500
Mg: 0.7500 0.2500 0.2500
Mg: 0.7500 0.7500 0.7500
Cd: 0.0000 0.0000 0.5000
Cd: 0.0000 0.5000 0.0000
Cd: 0.5000 0.0000 0.0000
Cd: 0.5000 0.5000 0.5000


[2]
DFT (PBE) results for a relaxed structure of MgZrTe2N.

Output
E above lowest polymorph ... 0 meV per atom
Space-group type ... P4/mmm (123)
E_form (uncorrected) ... -0.75 eV per formula unit
Total magnetization ... 0.01 μB/f.u.

Lattice parameters (Å, degrees): 5.8023 5.8023 4.0294 90.00 90.00 90.00
Sites, in units of the cell vectors:
Mg: 0.0000 0.0000 0.0000
Zr: 0.5000 0.5000 0.5000
Te: 0.0000 0.5000 0.5000
Te: 0.5000 0.0000 0.5000
N: 0.5000 0.5000 0.0000


[3]
DFT (PBE) results for a relaxed structure of Ac6GaPd2I3.

Output
Space-group type ... C2/m (12)
E_form (uncorrected) ... -10.30 eV per formula unit
Total magnetization ... 0.00 μB/f.u.

Lattice parameters (Å, degrees): 7.8810 7.8810 8.7689 98.62 98.62 119.96
Sites, in units of the cell vectors:
Ac: 0.0912 0.4338 0.8008
Ac: 0.2233 0.2233 0.1974
Ac: 0.4338 0.0912 0.8008
Ac: 0.5662 0.9088 0.1992
Ac: 0.7767 0.7767 0.8026
Ac: 0.9088 0.5662 0.1992
Ga: 0.5000 0.5000 0.0000
Pd: 0.1672 0.8328 0.0000
Pd: 0.8328 0.1672 0.0000
I: 0.0000 0.0000 0.5000
I: 0.3387 0.6613 0.5000
I: 0.6613 0.3387 0.5000


[4]
DFT (PBE) results for a relaxed structure of Sm3Er5Tm2.

Output
E above lowest polymorph ... 150 meV per atom
Space-group type ... Ibam (72)
E_form ... 349 meV per atom
Total magnetization ... 0.00 μB/f.u.

Lattice parameters (Å, degrees): 11.0178 11.0178 11.0178 108.99 80.51 147.09
Sites, in units of the cell vectors:
Sm: 0.2469 0.1583 0.4052
Sm: 0.2500 0.2500 0.0000
Sm: 0.2531 0.6583 0.9114
Sm: 0.7469 0.3417 0.0886
Sm: 0.7500 0.7500 0.0000
Sm: 0.7531 0.8417 0.5948
Er: 0.1559 0.4018 0.5577
Er: 0.2500 0.5020 0.2520
Er: 0.2500 0.7500 0.5000
Er: 0.2500 0.9980 0.7480
Er: 0.3441 0.9018 0.2459
Er: 0.6559 0.0982 0.7541
Er: 0.7500 0.0020 0.2520
Er: 0.7500 0.2500 0.5000
Er: 0.7500 0.4980 0.7480
Er: 0.8441 0.5982 0.4423
Tm: 0.1559 0.8982 0.0540
Tm: 0.3441 0.3982 0.7423
Tm: 0.6559 0.6018 0.2577
Tm: 0.8441 0.1018 0.9460


[5]
DFT (PBE) results for a relaxed structure of YNiSe2.

Output
Space-group type ... Pm (6)
E_form (uncorrected) ... -4.22 eV per formula unit
Total magnetization ... 0.00 μB/f.u.

Lattice parameters (Å, degrees): 3.9348 4.3275 5.2229 90.00 107.02 90.00
Sites, in units of the cell vectors:
Y: 0.0000 0.0000 0.0000
Ni: 0.4736 0.5000 0.3792
Se: 0.4262 0.5000 0.8641
Se: 0.6805 0.0000 0.4221


[6]
DFT (PBE) results for a relaxed structure of Mn2FeCu.

Output
E above lowest polymorph ... 90 meV per atom
Space-group type ... R-3m (166)
E_form ... 199 meV per atom
Total magnetization ... 1.85 μB/f.u.

Lattice parameters (Å, degrees): 2.4775 2.4775 24.8751 90.00 90.00 120.00
Sites, in units of the cell vectors:
Mn: 0.0000 0.0000 0.2459
Mn: 0.0000 0.0000 0.7541
Mn: 0.3333 0.6667 0.4207
Mn: 0.3333 0.6667 0.9126
Mn: 0.6667 0.3333 0.0874
Mn: 0.6667 0.3333 0.5793
Fe: 0.0000 0.0000 0.5000
Fe: 0.3333 0.6667 0.1667
Fe: 0.6667 0.3333 0.8333
Cu: 0.0000 0.0000 0.0000
Cu: 0.3333 0.6667 0.6667
Cu: 0.6667 0.3333 0.3333


[7]
DFT (PBE) results for a relaxed structure of Y2HgO4.

Output
E above lowest polymorph ... 0 meV per atom
Space-group type ... C2/m (12)
E_form (uncorrected) ... -18.33 eV per formula unit
Total magnetization ... 0.00 μB/f.u.

Lattice parameters (Å, degrees): 7.1043 7.1043 10.1633 121.16 121.16 29.76
Sites, in units of the cell vectors:
Y: 0.1193 0.1193 0.4623
Y: 0.3410 0.3410 0.2000
Y: 0.6590 0.6590 0.8000
Y: 0.8807 0.8807 0.5377
Hg: 0.3865 0.3865 0.8388
Hg: 0.6135 0.6135 0.1612
O: 0.0821 0.0821 0.6530
O: 0.2680 0.2680 0.3883
O: 0.2966 0.2966 0.9451
O: 0.4647 0.4647 0.7172
O: 0.5353 0.5353 0.2828
O: 0.7034 0.7034 0.0549
O: 0.7320 0.7320 0.6117
O: 0.9179 0.9179 0.3470


[8]
DFT (PBE) results for a relaxed structure of CaIrN2F.

Output
E above lowest polymorph ... 1981 meV per atom
Space-group type ... P4/mmm (123)
E_form (uncorrected) ... 7.00 eV per formula unit
Total magnetization ... 3.59 μB/f.u.

Lattice parameters (Å, degrees): 4.4684 4.4684 3.9835 90.00 90.00 90.00
Sites, in units of the cell vectors:
Ca: 0.0000 0.0000 0.0000
Ir: 0.5000 0.5000 0.5000
N: 0.0000 0.5000 0.0000
N: 0.5000 0.0000 0.0000
F: 0.0000 0.0000 0.5000


[9]
DFT (PBE) results for a relaxed structure of Nd12Cu3N5.

Output
Space-group type ... Ia-3d (230)
E_form (uncorrected) ... -11.64 eV per formula unit
Total magnetization ... 0.00 μB/f.u.

Lattice parameters (Å, degrees): 13.7273 13.7273 13.7273 109.47 109.47 109.47
Sites, in units of the cell vectors:
Nd: 0.0204 0.2033 0.1152
Nd: 0.0204 0.3171 0.9053
Nd: 0.0882 0.7033 0.6829
Nd: 0.0882 0.8848 0.4053
Nd: 0.0947 0.6152 0.4118
Nd: 0.0947 0.9796 0.6829
Nd: 0.1152 0.0204 0.2033
Nd: 0.1152 0.5947 0.9118
Nd: 0.1829 0.2033 0.5882
Nd: 0.1829 0.4796 0.5947
Nd: 0.2033 0.1152 0.0204
Nd: 0.2033 0.5882 0.1829
Nd: 0.2967 0.3171 0.9118
Nd: 0.2967 0.4796 0.3848
Nd: 0.3171 0.9053 0.0204
Nd: 0.3171 0.9118 0.2967
Nd: 0.3848 0.2967 0.4796
Nd: 0.3848 0.5882 0.9053
Nd: 0.4053 0.0882 0.8848
Nd: 0.4053 0.8171 0.5204
Nd: 0.4118 0.0947 0.6152
Nd: 0.4118 0.8171 0.7967
Nd: 0.4796 0.3848 0.2967
Nd: 0.4796 0.5947 0.1829
Nd: 0.5204 0.4053 0.8171
Nd: 0.5204 0.6152 0.7033
Nd: 0.5882 0.1829 0.2033
Nd: 0.5882 0.9053 0.3848
Nd: 0.5947 0.1829 0.4796
Nd: 0.5947 0.9118 0.1152
Nd: 0.6152 0.4118 0.0947
Nd: 0.6152 0.7033 0.5204
Nd: 0.6829 0.0882 0.7033
Nd: 0.6829 0.0947 0.9796
Nd: 0.7033 0.5204 0.6152
Nd: 0.7033 0.6829 0.0882
Nd: 0.7967 0.4118 0.8171
Nd: 0.7967 0.8848 0.9796
Nd: 0.8171 0.5204 0.4053
Nd: 0.8171 0.7967 0.4118
Nd: 0.8848 0.4053 0.0882
Nd: 0.8848 0.9796 0.7967
Nd: 0.9053 0.0204 0.3171
Nd: 0.9053 0.3848 0.5882
Nd: 0.9118 0.1152 0.5947
Nd: 0.9118 0.2967 0.3171
Nd: 0.9796 0.6829 0.0947
Nd: 0.9796 0.7967 0.8848
Cu: 0.1250 0.2500 0.3750
Cu: 0.1250 0.3750 0.7500
Cu: 0.2500 0.3750 0.1250
Cu: 0.2500 0.8750 0.6250
Cu: 0.3750 0.1250 0.2500
Cu: 0.3750 0.7500 0.1250
Cu: 0.6250 0.2500 0.8750
Cu: 0.6250 0.8750 0.7500
Cu: 0.7500 0.1250 0.3750
Cu: 0.7500 0.6250 0.8750
Cu: 0.8750 0.6250 0.2500
Cu: 0.8750 0.7500 0.6250
N: 0.0000 0.0000 0.0000
N: 0.0000 0.0000 0.5000
N: 0.0000 0.5000 0.0000
N: 0.0000 0.5000 0.5000
N: 0.1250 0.7500 0.8750
N: 0.1250 0.8750 0.2500
N: 0.2500 0.1250 0.8750
N: 0.2500 0.6250 0.3750
N: 0.3750 0.2500 0.6250
N: 0.3750 0.6250 0.7500
N: 0.5000 0.0000 0.0000
N: 0.5000 0.0000 0.5000
N: 0.5000 0.5000 0.0000
N: 0.5000 0.5000 0.5000
N: 0.6250 0.3750 0.2500
N: 0.6250 0.7500 0.3750
N: 0.7500 0.3750 0.6250
N: 0.7500 0.8750 0.1250
N: 0.8750 0.1250 0.7500
N: 0.8750 0.2500 0.1250


[10]
DFT (PBE) results for a relaxed structure of Sc2CuPt2.

Output
Space-group type ... P4/mbm (127)
E_form ... -888 meV per atom
Total magnetization ... 0.00 μB/f.u.

Lattice parameters (Å, degrees): 7.1923 7.1923 3.5173 90.00 90.00 90.00
Sites, in units of the cell vectors:
Sc: 0.1644 0.3356 0.0000
Sc: 0.3356 0.8356 0.0000
Sc: 0.6644 0.1644 0.0000
Sc: 0.8356 0.6644 0.0000
Cu: 0.0000 0.0000 0.5000
Cu: 0.5000 0.5000 0.5000
Pt: 0.1395 0.6395 0.5000
Pt: 0.3605 0.1395 0.5000
Pt: 0.6395 0.8605 0.5000
Pt: 0.8605 0.3605 0.5000


[11]
DFT (PBE) results for a relaxed structure of Cu2NiOs.

Output
E above lowest polymorph ... 200 meV per atom
Space-group type ... I-4m2 (119)
E_form ... 343 meV per atom
Total magnetization ... 0.00 μB/f.u.

Lattice parameters (Å, degrees): 3.7128 3.7128 7.1459 90.00 90.00 90.00
Sites, in units of the cell vectors:
Cu: 0.0000 0.0000 0.0000
Cu: 0.0000 0.5000 0.2500
Cu: 0.5000 0.0000 0.7500
Cu: 0.5000 0.5000 0.5000
Ni: 0.0000 0.5000 0.7500
Ni: 0.5000 0.0000 0.2500
Os: 0.0000 0.0000 0.5000
Os: 0.5000 0.5000 0.0000


[12]
DFT (PBE) results for a relaxed structure of Re3NiSe.

Output
E above lowest polymorph ... 0 meV per atom
Space-group type ... Pm-3m (221)
E_form (uncorrected) ... 9.61 eV per formula unit
Total magnetization ... 0.00 μB/f.u.

Lattice parameters (Å, degrees): 4.4967 4.4967 4.4967 90.00 90.00 90.00
Sites, in units of the cell vectors:
Re: 0.0000 0.0000 0.5000
Re: 0.0000 0.5000 0.0000
Re: 0.5000 0.0000 0.0000
Ni: 0.5000 0.5000 0.5000
Se: 0.0000 0.0000 0.0000


- Which formula does entry 4 have?
  Sm3Er5Tm2


- Which value of total magnetization does entry 11 give?
  0.00 μB/f.u.


- Look up the total magnetization of the fourth one.
  0.00 μB/f.u.